BaCoSe4 | PBE | optimized geometry

Geometry as POSCAR:
```
BaCoSe4
1.0
0.000 4.199 4.199
4.199 0.000 4.199
4.199 4.199 0.000
Ba Co Se
1 1 4
direct
0.750 0.750 0.750
0.000 0.000 0.000
0.881 0.373 0.373
0.373 0.373 0.881
0.373 0.881 0.373
0.373 0.373 0.373
```

Density of states at the Fermi level (states/eV per cell): 4.23
Total moment (μB per formula unit): 2.60
Raw formation energy (meV/atom): 170.4